Entry 1:
Here is an optimized crystal structure of PuThTl from Alexandria via LeMat-Bulk. Energies are from PBE.

Lattice parameters (Å, degrees): 3.383 5.365 5.365 120.00 90.00 90.00
Element x y z (fractional)
Tl1 0.969 0.000 0.000
Th1 0.345 0.667 0.333
Pu1 0.686 0.333 0.667

Summary:
**Total moment**: 6.75 μB/cell
**Calculated volume**: 84.3 Å³ per cell
**Energy relative to the lowest polymorph listed for this composition**: 119 meV per atom

=====

Entry 2:
Here is an optimized crystal structure of PuThTl from Alexandria via LeMat-Bulk. Energies are from PBE.

Lattice parameters (Å, degrees): 4.484 4.907 15.488 90.00 90.00 90.00
Element x y z (fractional)
Pu1 0.500 0.250 0.754
Pu2 0.000 0.750 0.746
Pu3 0.000 0.250 0.254
Pu4 0.500 0.750 0.246
Th1 0.500 0.750 0.916
Th2 0.000 0.250 0.584
Th3 0.000 0.750 0.416
Th4 0.500 0.250 0.084
Tl1 0.000 0.250 0.910
Tl2 0.500 0.750 0.590
Tl3 0.500 0.250 0.410
Tl4 0.000 0.750 0.090

Summary:
**Total moment**: 24.91 μB/cell
**Calculated volume**: 340.8 Å³ per cell
**Energy relative to the lowest polymorph listed for this composition**: 0 meV per atom

=====

Calculated values (eV/atom) of formation energy from the elements for the records, taken in order: 0.103, -0.016.